Arrangement A

{"formula": "CdIn2Bi", "functional": "PBE", "state": "optimized geometry", "lattice_angstrom": [[0.000, 3.859, 3.859], [3.859, 0.000, 3.859], [3.859, 3.859, 0.000]], "species": ["Cd", "In", "In", "Bi"], "frac_coords": [[0.000, 0.000, 0.000], [0.250, 0.250, 0.250], [0.750, 0.750, 0.750], [0.500, 0.500, 0.500]], "crystal_system": "cubic", "total_magnetization_mub_per_cell": 0.0, "sg": "Fm-3m (225)"}

***

Arrangement B

{"formula": "CdIn2Bi", "functional": "PBE", "state": "optimized geometry", "lattice_angstrom": [[-2.162, 2.184, 6.385], [2.162, -2.184, 6.385], [2.162, 2.184, -6.385]], "species": ["Cd", "In", "In", "Bi"], "frac_coords": [[0.000, 0.000, 0.000], [0.257, 0.257, 0.000], [0.743, 0.743, 0.000], [0.500, 0.500, 0.000]], "crystal_system": "orthorhombic", "total_magnetization_mub_per_cell": 0.0, "sg": "Immm (71)"}

***

Arrangement C

{"formula": "CdIn2Bi", "functional": "PBE", "state": "optimized geometry", "lattice_angstrom": [[-4.289, 4.289, 3.161], [4.289, -4.289, 3.161], [4.289, 4.289, -3.161]], "species": ["Cd", "Cd", "In", "In", "In", "In", "Bi", "Bi"], "frac_coords": [[0.000, 0.000, 0.000], [0.750, 0.250, 0.500], [0.122, 0.625, 0.997], [0.375, 0.372, 0.497], [0.628, 0.125, 0.003], [0.875, 0.878, 0.503], [0.250, 0.750, 0.500], [0.500, 0.500, 0.000]], "crystal_system": "tetragonal", "total_magnetization_mub_per_cell": 0.0, "sg": "I-42d (122)"}

***

Arrangement D

{"formula": "CdIn2Bi", "functional": "PBE", "state": "optimized geometry", "lattice_angstrom": [[4.880, 0.000, 0.000], [0.000, 4.880, 0.000], [0.000, 0.000, 4.684]], "species": ["Cd", "In", "In", "Bi"], "frac_coords": [[0.000, 0.000, 0.000], [0.000, 0.500, 0.500], [0.500, 0.000, 0.500], [0.500, 0.500, 0.000]], "crystal_system": "tetragonal", "total_magnetization_mub_per_cell": 0.0, "sg": "P4/mmm (123)"}

***

Result of the stability comparison: arrangement A is the most stable of them.

***

Arrangement A

{"formula": "CdIn2Bi", "functional": "PBE", "state": "optimized geometry", "lattice_angstrom": [[3.583, 0.000, 0.000], [0.000, 3.583, 0.000], [0.000, 0.000, 8.679]], "species": ["Cd", "In", "In", "Bi"], "frac_coords": [[0.000, 0.000, 0.000], [0.500, 0.500, 0.234], [0.500, 0.500, 0.766], [0.000, 0.000, 0.500]], "crystal_system": "tetragonal", "total_magnetization_mub_per_cell": 0.0, "sg": "P4/mmm (123)"}

***

Arrangement B

{"formula": "CdIn2Bi", "functional": "PBE", "state": "optimized geometry", "lattice_angstrom": [[2.299, 1.327, 6.692], [-2.299, 1.327, 6.692], [0.000, -2.654, 6.692]], "species": ["Cd", "In", "In", "Bi"], "frac_coords": [[0.000, 0.000, 0.000], [0.408, 0.408, 0.408], [0.585, 0.585, 0.585], [0.833, 0.833, 0.833]], "crystal_system": "trigonal", "total_magnetization_mub_per_cell": 0.0, "sg": "R3m (160)"}

***

Result of the stability comparison: arrangement A is the most stable of them.

***

Arrangement A

{"formula": "Cd8In2Bi", "functional": "PBE", "state": "optimized geometry", "lattice_angstrom": [[3.332, -8.298, 0.000], [3.332, 8.298, 0.000], [-0.034, 0.000, 5.601]], "species": ["Cd", "Cd", "Cd", "Cd", "Cd", "Cd", "Cd", "Cd", "In", "In", "Bi"], "frac_coords": [[0.078, 0.078, 0.756], [0.178, 0.822, 0.000], [0.193, 0.399, 0.387], [0.399, 0.193, 0.387], [0.601, 0.807, 0.613], [0.807, 0.601, 0.613], [0.822, 0.178, 0.000], [0.922, 0.922, 0.244], [0.240, 0.760, 0.500], [0.760, 0.240, 0.500], [0.500, 0.500, 0.000]], "crystal_system": "monoclinic", "total_magnetization_mub_per_cell": 0.0, "sg": "C2/m (12)"}

***

Arrangement B

{"formula": "Cd8In2Bi", "functional": "PBE", "state": "optimized geometry", "lattice_angstrom": [[4.006, -8.226, 0.000], [4.006, 8.226, 0.000], [-3.875, 0.000, 4.267]], "species": ["Cd", "Cd", "Cd", "Cd", "Cd", "Cd", "Cd", "Cd", "In", "In", "Bi"], "frac_coords": [[0.103, 0.379, 0.756], [0.193, 0.807, 0.000], [0.379, 0.103, 0.756], [0.480, 0.480, 0.728], [0.520, 0.520, 0.272], [0.621, 0.897, 0.244], [0.807, 0.193, 0.000], [0.897, 0.621, 0.244], [0.315, 0.685, 0.500], [0.685, 0.315, 0.500], [0.000, 0.000, 0.000]], "crystal_system": "monoclinic", "total_magnetization_mub_per_cell": 0.0, "sg": "C2/m (12)"}

***

Result of the stability comparison: arrangement B is the most stable of them.

***

Arrangement A

{"formula": "CdIn4Bi", "functional": "PBE", "state": "optimized geometry", "lattice_angstrom": [[0.000, 4.437, 4.437], [4.437, 0.000, 4.437], [4.437, 4.437, 0.000]], "species": ["Cd", "In", "In", "In", "In", "Bi"], "frac_coords": [[0.000, 0.000, 0.000], [0.375, 0.375, 0.375], [0.375, 0.375, 0.875], [0.375, 0.875, 0.375], [0.875, 0.375, 0.375], [0.750, 0.750, 0.750]], "crystal_system": "cubic", "total_magnetization_mub_per_cell": 0.0, "sg": "F-43m (216)"}

***

Arrangement B

{"formula": "CdIn4Bi", "functional": "PBE", "state": "optimized geometry", "lattice_angstrom": [[6.406, 0.000, 0.000], [0.000, 9.300, 0.000], [-3.132, 0.000, 5.597]], "species": ["Cd", "Cd", "In", "In", "In", "In", "In", "In", "In", "In", "Bi", "Bi"], "frac_coords": [[0.000, 0.000, 0.000], [0.000, 0.500, 0.500], [0.097, 0.167, 0.613], [0.097, 0.333, 0.113], [0.389, 0.658, 0.407], [0.389, 0.842, 0.907], [0.611, 0.158, 0.093], [0.611, 0.342, 0.593], [0.903, 0.667, 0.887], [0.903, 0.833, 0.387], [0.500, 0.000, 0.500], [0.500, 0.500, 0.000]], "crystal_system": "monoclinic", "total_magnetization_mub_per_cell": 0.0, "sg": "P2_1/c (14)"}

***

Result of the stability comparison: arrangement B is the most stable of them.

***

Arrangement A

{"formula": "NaCdInBi", "functional": "PBE", "state": "optimized geometry", "lattice_angstrom": [[3.918, 0.000, 0.000], [0.000, 3.918, 0.000], [0.000, 0.000, 7.257]], "species": ["Na", "Cd", "In", "Bi"], "frac_coords": [[0.000, 0.000, 0.000], [0.000, 0.000, 0.519], [0.500, 0.500, 0.731], [0.500, 0.500, 0.278]], "crystal_system": "tetragonal", "total_magnetization_mub_per_cell": 0.0, "sg": "P4mm (99)"}

***

Arrangement B

{"formula": "NaCdInBi", "functional": "PBE", "state": "optimized geometry", "lattice_angstrom": [[0.000, 3.813, 3.813], [3.813, 0.000, 3.813], [3.813, 3.813, 0.000]], "species": ["Na", "Cd", "In", "Bi"], "frac_coords": [[0.000, 0.000, 0.000], [0.500, 0.500, 0.500], [0.250, 0.250, 0.250], [0.750, 0.750, 0.750]], "crystal_system": "cubic", "total_magnetization_mub_per_cell": 0.0, "sg": "F-43m (216)"}

***

Result of the stability comparison: arrangement B is the most stable of them.

***

Arrangement A

{"formula": "CdBiIr3", "functional": "PBE", "state": "optimized geometry", "lattice_angstrom": [[4.888, 0.000, 0.000], [0.000, 4.888, 0.000], [0.000, 0.000, 4.888]], "species": ["Cd", "Bi", "Ir", "Ir", "Ir"], "frac_coords": [[0.000, 0.000, 0.000], [0.500, 0.500, 0.500], [0.000, 0.000, 0.500], [0.000, 0.500, 0.000], [0.500, 0.000, 0.000]], "crystal_system": "cubic", "total_magnetization_mub_per_cell": 1.2, "sg": "Pm-3m (221)"}

***

Arrangement B

{"formula": "CdBiIr3", "functional": "PBE", "state": "optimized geometry", "lattice_angstrom": [[4.982, 0.000, 0.000], [0.000, 4.982, 0.000], [0.000, 0.000, 4.982]], "species": ["Cd", "Bi", "Ir", "Ir", "Ir"], "frac_coords": [[0.000, 0.000, 0.000], [0.500, 0.500, 0.500], [0.000, 0.500, 0.500], [0.500, 0.000, 0.500], [0.500, 0.500, 0.000]], "crystal_system": "cubic", "total_magnetization_mub_per_cell": 0.0, "sg": "Pm-3m (221)"}

***

Result of the stability comparison: arrangement B is the most stable of them.

***

Arrangement A

{"formula": "CdBiIr", "functional": "PBE", "state": "optimized geometry", "lattice_angstrom": [[0.000, 3.276, 3.276], [3.276, 0.000, 3.276], [3.276, 3.276, 0.000]], "species": ["Cd", "Bi", "Ir"], "frac_coords": [[0.000, 0.000, 0.000], [0.500, 0.500, 0.500], [0.250, 0.250, 0.250]], "crystal_system": "cubic", "total_magnetization_mub_per_cell": 0.0, "sg": "F-43m (216)"}

***

Arrangement B

{"formula": "CdBiIr", "functional": "PBE", "state": "optimized geometry", "lattice_angstrom": [[6.521, -2.020, 0.000], [6.521, 2.020, 0.000], [-1.612, 0.000, 5.398]], "species": ["Cd", "Cd", "Bi", "Bi", "Ir", "Ir"], "frac_coords": [[0.075, 0.075, 0.244], [0.925, 0.925, 0.756], [0.353, 0.353, 0.179], [0.647, 0.647, 0.821], [0.259, 0.259, 0.656], [0.741, 0.741, 0.344]], "crystal_system": "monoclinic", "total_magnetization_mub_per_cell": 0.0, "sg": "C2/m (12)"}

***

Result of the stability comparison: arrangement A is the most stable of them.

***

Arrangement A

{"formula": "CdBiIr2", "functional": "PBE", "state": "optimized geometry", "lattice_angstrom": [[-3.728, 3.728, 2.935], [3.728, -3.728, 2.935], [3.728, 3.728, -2.935]], "species": ["Cd", "Cd", "Bi", "Bi", "Ir", "Ir", "Ir", "Ir"], "frac_coords": [[0.000, 0.000, 0.000], [0.750, 0.250, 0.500], [0.250, 0.750, 0.500], [0.500, 0.500, 0.000], [0.136, 0.625, 0.010], [0.375, 0.386, 0.510], [0.614, 0.125, 0.990], [0.875, 0.864, 0.490]], "crystal_system": "tetragonal", "total_magnetization_mub_per_cell": 0.0, "sg": "I-42d (122)"}

***

Arrangement B

{"formula": "CdBiIr2", "functional": "PBE", "state": "optimized geometry", "lattice_angstrom": [[0.000, 3.339, 3.339], [3.339, 0.000, 3.339], [3.339, 3.339, 0.000]], "species": ["Cd", "Bi", "Ir", "Ir"], "frac_coords": [[0.000, 0.000, 0.000], [0.500, 0.500, 0.500], [0.250, 0.250, 0.250], [0.750, 0.750, 0.750]], "crystal_system": "cubic", "total_magnetization_mub_per_cell": 0.7, "sg": "Fm-3m (225)"}

***

Result of the stability comparison: arrangement B is the most stable of them.

***

Arrangement A

{"formula": "KCdBi3", "functional": "PBE", "state": "optimized geometry", "lattice_angstrom": [[5.985, 0.000, 0.000], [0.000, 5.985, 0.000], [0.000, 0.000, 5.985]], "species": ["K", "Cd", "Bi", "Bi", "Bi"], "frac_coords": [[0.000, 0.000, 0.000], [0.500, 0.500, 0.500], [0.000, 0.000, 0.500], [0.000, 0.500, 0.000], [0.500, 0.000, 0.000]], "crystal_system": "cubic", "total_magnetization_mub_per_cell": 0.0, "sg": "Pm-3m (221)"}

***

Arrangement B

{"formula": "KCdBi3", "functional": "PBE", "state": "optimized geometry", "lattice_angstrom": [[5.814, 0.000, 0.000], [0.000, 5.814, 0.000], [0.000, 0.000, 5.814]], "species": ["K", "Cd", "Bi", "Bi", "Bi"], "frac_coords": [[0.000, 0.000, 0.000], [0.500, 0.500, 0.500], [0.000, 0.500, 0.500], [0.500, 0.000, 0.500], [0.500, 0.500, 0.000]], "crystal_system": "cubic", "total_magnetization_mub_per_cell": 0.0, "sg": "Pm-3m (221)"}

***

Result of the stability comparison: arrangement B is the most stable of them.

***

Arrangement A

{"formula": "K3Cd2Bi3", "functional": "PBE", "state": "optimized geometry", "lattice_angstrom": [[2.819, -6.024, 0.000], [2.819, 6.024, 0.000], [0.000, 0.000, 16.904]], "species": ["K", "K", "K", "K", "K", "K", "Cd", "Cd", "Cd", "Cd", "Bi", "Bi", "Bi", "Bi", "Bi", "Bi"], "frac_coords": [[0.025, 0.975, 0.750], [0.145, 0.855, 0.032], [0.145, 0.855, 0.468], [0.855, 0.145, 0.532], [0.855, 0.145, 0.968], [0.975, 0.025, 0.250], [0.315, 0.685, 0.664], [0.315, 0.685, 0.836], [0.685, 0.315, 0.164], [0.685, 0.315, 0.336], [0.278, 0.722, 0.250], [0.454, 0.546, 0.097], [0.454, 0.546, 0.403], [0.546, 0.454, 0.597], [0.546, 0.454, 0.903], [0.722, 0.278, 0.750]], "crystal_system": "orthorhombic", "total_magnetization_mub_per_cell": 0.0, "sg": "Cmcm (63)"}

***

Arrangement B

{"formula": "K3Cd2Bi3", "functional": "PBE", "state": "optimized geometry", "lattice_angstrom": [[2.650, -6.261, 0.000], [2.650, 6.261, 0.000], [0.000, 0.000, 17.460]], "species": ["K", "K", "K", "K", "K", "K", "Cd", "Cd", "Cd", "Cd", "Bi", "Bi", "Bi", "Bi", "Bi", "Bi"], "frac_coords": [[0.084, 0.916, 0.619], [0.084, 0.916, 0.881], [0.378, 0.622, 0.750], [0.622, 0.378, 0.250], [0.916, 0.084, 0.119], [0.916, 0.084, 0.381], [0.211, 0.789, 0.100], [0.211, 0.789, 0.400], [0.789, 0.211, 0.600], [0.789, 0.211, 0.900], [0.321, 0.679, 0.250], [0.380, 0.620, 0.529], [0.380, 0.620, 0.971], [0.620, 0.380, 0.029], [0.620, 0.380, 0.471], [0.679, 0.321, 0.750]], "crystal_system": "orthorhombic", "total_magnetization_mub_per_cell": 0.0, "sg": "Cmcm (63)"}

***

Result of the stability comparison: arrangement B is the most stable of them.

***

Arrangement A

{"formula": "KCd3Bi", "functional": "PBE", "state": "optimized geometry", "lattice_angstrom": [[5.962, 0.000, 0.000], [0.000, 5.962, 0.000], [0.000, 0.000, 5.962]], "species": ["K", "Cd", "Cd", "Cd", "Bi"], "frac_coords": [[0.000, 0.000, 0.000], [0.000, 0.000, 0.500], [0.000, 0.500, 0.000], [0.500, 0.000, 0.000], [0.500, 0.500, 0.500]], "crystal_system": "cubic", "total_magnetization_mub_per_cell": 0.0, "sg": "Pm-3m (221)"}

***

Arrangement B

{"formula": "KCd3Bi", "functional": "PBE", "state": "optimized geometry", "lattice_angstrom": [[5.966, 0.000, 0.000], [0.000, 5.966, 0.000], [0.000, 0.000, 5.966]], "species": ["K", "Cd", "Cd", "Cd", "Bi"], "frac_coords": [[0.000, 0.000, 0.000], [0.000, 0.500, 0.500], [0.500, 0.000, 0.500], [0.500, 0.500, 0.000], [0.500, 0.500, 0.500]], "crystal_system": "cubic", "total_magnetization_mub_per_cell": 0.0, "sg": "Pm-3m (221)"}

***

Result of the stability comparison: arrangement B is the most stable of them.

***

Arrangement A

{"formula": "KCd4Bi2", "functional": "PBE", "state": "optimized geometry", "lattice_angstrom": [[2.560, -8.754, 0.000], [2.560, 8.754, 0.000], [0.000, 0.000, 4.793]], "species": ["K", "Cd", "Cd", "Cd", "Cd", "Bi", "Bi"], "frac_coords": [[0.000, 0.000, 0.000], [0.189, 0.811, 0.500], [0.298, 0.702, 0.000], [0.702, 0.298, 0.000], [0.811, 0.189, 0.500], [0.407, 0.593, 0.500], [0.593, 0.407, 0.500]], "crystal_system": "orthorhombic", "total_magnetization_mub_per_cell": 0.0, "sg": "Cmmm (65)"}

***

Arrangement B

{"formula": "KCd4Bi2", "functional": "PBE", "state": "optimized geometry", "lattice_angstrom": [[2.697, 1.557, 9.005], [-2.697, 1.557, 9.005], [0.000, -3.115, 9.005]], "species": ["K", "Cd", "Cd", "Cd", "Cd", "Bi", "Bi"], "frac_coords": [[0.000, 0.000, 0.000], [0.132, 0.132, 0.132], [0.444, 0.444, 0.444], [0.556, 0.556, 0.556], [0.868, 0.868, 0.868], [0.243, 0.243, 0.243], [0.757, 0.757, 0.757]], "crystal_system": "trigonal", "total_magnetization_mub_per_cell": 0.0, "sg": "R-3m (166)"}

***

Result of the stability comparison: arrangement A is the most stable of them.